[1]
The following is a DFT calculation (PBE) of a relaxed structure of BPd2Pt6.

Lattice parameters (Å, degrees): 5.763 5.763 8.115 90.00 89.98 90.00
Fractional coordinates of all 18 atoms:
Pt (0.242, 0.758, 0.000)
Pt (0.000, 0.000, 0.242)
Pt (0.257, 0.742, 0.500)
Pt (0.743, 0.258, 0.500)
Pt (0.500, 0.500, 0.258)
Pt (0.243, 0.242, 0.000)
Pt (0.757, 0.758, 0.000)
Pt (0.742, 0.742, 0.500)
Pt (0.500, 0.500, 0.742)
Pt (0.758, 0.242, 0.000)
Pt (0.000, 0.000, 0.758)
Pt (0.258, 0.258, 0.500)
B (0.000, 0.000, 0.500)
B (0.500, 0.500, 0.000)
Pd (0.500, 0.000, 0.250)
Pd (0.000, 0.500, 0.250)
Pd (0.500, 0.000, 0.750)
Pd (0.000, 0.500, 0.750)

## Properties
Electronic total energy   -6.029 eV per atom

---

[2]
The following is a DFT calculation (PBE) of a relaxed structure of LiNbCu2W.

Lattice parameters (Å, degrees): 3.948 4.534 3.948 90.00 90.00 90.00
Fractional coordinates of all 5 atoms:
Li (0.000, 0.000, 0.000)
Cu (0.500, 0.000, 0.000)
Cu (0.000, 0.000, 0.500)
W (0.500, 0.500, 0.500)
Nb (0.000, 0.500, 0.000)

## Properties
Electronic total energy   -5.721 eV per atom

---

[3]
The following is a DFT calculation (PBE) of a relaxed structure of MoOs2W.

Lattice parameters (Å, degrees): 5.657 5.657 6.974 66.08 66.08 90.00
Fractional coordinates of all 8 atoms:
Mo (0.250, 0.750, 0.500)
Mo (0.500, 0.500, 0.000)
Os (0.127, 0.625, 0.250)
Os (0.875, 0.873, 0.750)
Os (0.375, 0.377, 0.750)
Os (0.623, 0.125, 0.250)
W (0.000, 0.000, 0.000)
W (0.750, 0.250, 0.500)

## Properties
Distance to the lowest polymorph of the same formula   5.625 eV per formula unit

---

[4]
The following is a DFT calculation (PBE) of a relaxed structure of Tm6Sb3TeP2.

Lattice parameters (Å, degrees): 4.182 8.449 9.387 103.00 102.87 90.00
Fractional coordinates of all 12 atoms:
P (0.831, 0.664, 0.662)
P (0.169, 0.336, 0.338)
Tm (0.327, 0.430, 0.653)
Tm (0.988, 0.738, 0.976)
Tm (0.012, 0.262, 0.024)
Tm (0.674, 0.107, 0.347)
Tm (0.673, 0.570, 0.347)
Tm (0.326, 0.893, 0.653)
Sb (0.500, 0.500, 0.000)
Sb (0.840, 0.168, 0.679)
Sb (0.160, 0.832, 0.321)
Te (0.500, 0.000, 0.000)

## Properties
Energy relative to the elements, uncorrected   -1.265 eV per atom

---

[5]
The following is a DFT calculation (PBE) of a relaxed structure of Ac2Ag3Hg4.

Lattice parameters (Å, degrees): 6.527 8.601 8.970 90.00 111.34 90.00
Fractional coordinates of all 18 atoms:
Ag (0.000, 0.000, 0.000)
Ag (0.531, 0.750, 0.561)
Ag (0.031, 0.750, 0.561)
Ag (0.469, 0.250, 0.439)
Ag (0.969, 0.250, 0.439)
Ag (0.500, 0.500, 0.000)
Ac (0.377, 0.075, 0.755)
Ac (0.877, 0.425, 0.755)
Ac (0.623, 0.925, 0.245)
Ac (0.123, 0.575, 0.245)
Hg (0.822, 0.032, 0.645)
Hg (0.322, 0.468, 0.645)
Hg (0.705, 0.750, 0.911)
Hg (0.795, 0.250, 0.089)
Hg (0.678, 0.532, 0.355)
Hg (0.178, 0.968, 0.355)
Hg (0.295, 0.250, 0.089)
Hg (0.205, 0.750, 0.911)

## Properties
Distance to the lowest polymorph of the same formula   0.103 eV per formula unit

---

[6]
The following is a DFT calculation (PBE) of a relaxed structure of Tc3PtSe.

Lattice parameters (Å, degrees): 4.829 4.829 4.829 90.00 90.00 90.00
Fractional coordinates of all 5 atoms:
Tc (0.000, 0.000, 0.500)
Tc (0.000, 0.500, 0.000)
Tc (0.500, 0.000, 0.000)
Se (0.500, 0.500, 0.500)
Pt (0.000, 0.000, 0.000)

## Properties
Distance to the lowest polymorph of the same formula   3.991 eV per formula unit
Energy relative to the elements, uncorrected   1.940 eV per atom

---

[7]
The following is a DFT calculation (PBE) of a relaxed structure of CePmSiPb.

Lattice parameters (Å, degrees): 5.339 5.339 5.339 60.00 60.00 60.00
Fractional coordinates of all 4 atoms:
Pb (0.250, 0.250, 0.250)
Pm (0.500, 0.500, 0.500)
Si (0.750, 0.750, 0.750)
Ce (0.000, 0.000, 0.000)

## Properties
Energy relative to the elements, uncorrected   -0.317 eV per atom

---

[8]
The following is a DFT calculation (PBE) of a relaxed structure of Nd3Ge3Pt2.

Lattice parameters (Å, degrees): 4.434 5.842 14.894 90.00 90.00 112.30
Fractional coordinates of all 16 atoms:
Ge (0.331, 0.662, 0.250)
Ge (0.382, 0.765, 0.535)
Ge (0.618, 0.235, 0.035)
Ge (0.382, 0.765, 0.965)
Ge (0.618, 0.235, 0.465)
Ge (0.669, 0.338, 0.750)
Pt (0.190, 0.380, 0.395)
Pt (0.810, 0.620, 0.895)
Pt (0.190, 0.380, 0.105)
Pt (0.810, 0.620, 0.605)
Nd (0.096, 0.192, 0.609)
Nd (0.626, 0.252, 0.250)
Nd (0.904, 0.808, 0.391)
Nd (0.096, 0.192, 0.891)
Nd (0.904, 0.808, 0.109)
Nd (0.374, 0.748, 0.750)

## Properties
Electronic total energy   -6.048 eV per atom